A relaxed MgAg4Hg crystal, computed with PBE.

The density of states at the Fermi level comes out at 0.2559 states/eV/atom. The calculated total energy comes out at -27.44 eV/cell. The energy of formation from the pure elements comes out at -0.070 eV per atom. The calculation puts the excess energy over the best structure of this formula in the dataset at 0.0 meV per atom.

It has space group C2/m (No. 12), with a = 5.1897 Å, b = 8.9219 Å, c = 5.1354 Å, α = 90.00°, β = 109.33° and γ = 90.00°. Symmetry generates all atoms from Mg at (0.0000, 0.0000, 0.0000), Ag at (0.0000, 0.1652, 0.5000), Ag at (0.0000, 0.3300, 0.0000) and Hg at (0.0000, 0.5000, 0.5000).

***

A relaxed MgAgHg2 crystal, computed with PBE.

The density of states at the Fermi level comes out at 0.3674 states/eV/atom. The calculated total energy comes out at -10.77 eV/cell. The energy of formation from the pure elements comes out at -0.084 eV per atom.

It has space group I4/mmm (No. 139), with a = 4.4868 Å, b = 4.4868 Å, c = 8.2304 Å, α = 90.00°, β = 90.00° and γ = 90.00°. Symmetry generates all atoms from Mg at (0.0000, 0.0000, 0.0000), Ag at (0.0000, 0.0000, 0.5000) and Hg at (0.0000, 0.5000, 0.2500).

***

A relaxed MgAgHg2 crystal, computed with PBE.

The density of states at the Fermi level comes out at 0.4293 states/eV/atom. The calculated total energy comes out at -20.76 eV/cell. The energy of formation from the pure elements comes out at -0.035 eV per atom.

It has space group F-43m (No. 216), with a = 6.9229 Å, b = 6.9229 Å, c = 6.9229 Å, α = 90.00°, β = 90.00° and γ = 90.00°. Symmetry generates all atoms from Mg at (0.0000, 0.0000, 0.0000), Ag at (0.2500, 0.2500, 0.7500), Hg at (0.0000, 0.0000, 0.5000) and Hg at (0.2500, 0.2500, 0.2500).

***

A relaxed Mg2AgHg crystal, computed with PBE.

The density of states at the Fermi level comes out at 0.3009 states/eV/atom. The calculated total energy comes out at -7.25 eV/cell. The energy of formation from the pure elements comes out at -0.227 eV per atom.

It has space group P4/mmm (No. 123), with a = 4.8238 Å, b = 4.8238 Å, c = 3.3873 Å, α = 90.00°, β = 90.00° and γ = 90.00°. Symmetry generates all atoms from Mg at (0.0000, 0.5000, 0.0000), Ag at (0.0000, 0.0000, 0.5000) and Hg at (0.5000, 0.5000, 0.5000).

***

A relaxed Mg6AgHg crystal, computed with PBE.

The density of states at the Fermi level comes out at 0.1586 states/eV/atom. The calculated total energy comes out at -40.47 eV/cell. The energy of formation from the pure elements comes out at -0.096 eV per atom. The calculation puts the excess energy over the best structure of this formula in the dataset at 18.6 meV per atom.

It has space group R-3m (No. 166, hexagonal axes), with a = 4.9014 Å, b = 4.9014 Å, c = 23.9109 Å, α = 90.00°, β = 90.00° and γ = 120.00°. Symmetry generates all atoms from Mg at (0.0000, 0.0000, 0.1232), Mg at (0.0000, 0.0000, 0.2506), Mg at (0.0000, 0.0000, 0.3739), Ag at (0.0000, 0.0000, 0.0000) and Hg at (0.0000, 0.0000, 0.5000).

***

A relaxed Mg6AgHg3 crystal, computed with PBE.

The density of states at the Fermi level comes out at 0.3810 states/eV/atom. The calculated total energy comes out at -30.47 eV/cell. The energy of formation from the pure elements comes out at -0.191 eV per atom.

It has space group P2_1/m (No. 11), with a = 8.3568 Å, b = 4.9242 Å, c = 10.7816 Å, α = 90.00°, β = 110.59° and γ = 90.00°. Symmetry generates all atoms from Mg at (0.0389, 0.2500, 0.4212), Mg at (0.1664, 0.7500, 0.1709), Mg at (0.2545, 0.2500, 0.0056), Mg at (0.3485, 0.7500, 0.8012), Mg at (0.3506, 0.2500, 0.3248), Mg at (0.4183, 0.2500, 0.6320), Ag at (0.4560, 0.7500, 0.0850), Hg at (0.0292, 0.7500, 0.8754), Hg at (0.1237, 0.2500, 0.7117) and Hg at (0.2894, 0.7500, 0.4768).

***

A relaxed Mg11Ag4Hg9 crystal, computed with PBE.

The density of states at the Fermi level comes out at 0.1692 states/eV/atom. The calculated total energy comes out at -72.70 eV/cell. The energy of formation from the pure elements comes out at -0.195 eV per atom.

It has space group Cmmm (No. 65), with a = 14.2957 Å, b = 21.2451 Å, c = 3.2661 Å, α = 90.00°, β = 90.00° and γ = 90.00°. Symmetry generates all atoms from Mg at (0.0000, 0.0000, 0.0000), Mg at (0.0000, 0.1618, 0.0000), Mg at (0.0000, 0.3592, 0.0000), Mg at (0.2236, 0.5000, 0.0000), Mg at (0.2366, 0.1748, 0.0000), Ag at (0.1492, 0.4031, 0.5000), Hg at (0.0000, 0.5000, 0.5000), Hg at (0.1108, 0.2594, 0.5000) and Hg at (0.1347, 0.0781, 0.5000).

***

A relaxed Mg2AgHg3 crystal, computed with PBE.

The density of states at the Fermi level comes out at 0.4484 states/eV/atom. The calculated total energy comes out at -7.68 eV/cell. The energy of formation from the pure elements comes out at -0.123 eV per atom.

It has space group P4/mmm (No. 123), with a = 3.5372 Å, b = 3.5372 Å, c = 10.0427 Å, α = 90.00°, β = 90.00° and γ = 90.00°. Symmetry generates all atoms from Mg at (0.0000, 0.0000, 0.1694), Ag at (0.0000, 0.0000, 0.5000), Hg at (0.5000, 0.5000, 0.0000) and Hg at (0.5000, 0.5000, 0.3346).

***

A relaxed Mg4Ag4Hg3 crystal, computed with PBE.

The density of states at the Fermi level comes out at 0.2743 states/eV/atom. The calculated total energy comes out at -20.64 eV/cell. The energy of formation from the pure elements comes out at -0.177 eV per atom.

It has space group P-1 (No. 2), with a = 3.3588 Å, b = 3.7150 Å, c = 17.4073 Å, α = 83.89°, β = 84.70° and γ = 89.99°. Symmetry generates all atoms from Mg at (0.0503, 0.0489, 0.4008), Mg at (0.3128, 0.3157, 0.8725), Ag at (0.2286, 0.2274, 0.0434), Ag at (0.4079, 0.4102, 0.6830), Hg at (0.1409, 0.1386, 0.2205) and Hg at (0.5000, 0.5000, 0.5000).

***

A relaxed Mg3Ag4Hg2 crystal, computed with PBE.

The density of states at the Fermi level comes out at 0.2325 states/eV/atom. The calculated total energy comes out at -72.24 eV/cell. The energy of formation from the pure elements comes out at -0.141 eV per atom.

It has space group C2/c (No. 15), with a = 13.7071 Å, b = 10.2251 Å, c = 5.0495 Å, α = 90.00°, β = 98.17° and γ = 90.00°. Symmetry generates all atoms from Mg at (0.0000, 0.1250, 0.2500), Mg at (0.1604, 0.3745, 0.0850), Ag at (0.0534, 0.3779, 0.5269), Ag at (0.1061, 0.1306, 0.8008) and Hg at (0.2232, 0.1204, 0.3508).

***

A relaxed MgAgHg3 crystal, computed with PBE.

The density of states at the Fermi level comes out at 0.3301 states/eV/atom. The calculated total energy comes out at -4.13 eV/cell. The energy of formation from the pure elements comes out at 0.245 eV per atom. The calculation puts the excess energy over the best structure of this formula in the dataset at 277.0 meV per atom.

It has space group Pm-3m (No. 221), with a = 5.4668 Å, b = 5.4668 Å, c = 5.4668 Å, α = 90.00°, β = 90.00° and γ = 90.00°. Symmetry generates all atoms from Mg at (0.0000, 0.0000, 0.0000), Ag at (0.5000, 0.5000, 0.5000) and Hg at (0.0000, 0.5000, 0.5000).

***

A relaxed MgAg2Hg crystal, computed with PBE.

The density of states at the Fermi level comes out at 0.3467 states/eV/atom. The calculated total energy comes out at -23.26 eV/cell. The energy of formation from the pure elements comes out at -0.038 eV per atom.

It has space group R-3m (No. 166, hexagonal axes), with a = 3.0870 Å, b = 3.0870 Å, c = 28.6461 Å, α = 90.00°, β = 90.00° and γ = 120.00°. Symmetry generates all atoms from Mg at (0.0000, 0.0000, 0.0000), Ag at (0.0000, 0.0000, 0.2540) and Hg at (0.0000, 0.0000, 0.5000).